1.
A relaxed structure of Hf2IrOs. Source: Alexandria via LeMat-Bulk, functional PBE.

Unit cell a=4.6219 b=3.2636 c=9.2418 alpha=90.00 beta=90.00 gamma=90.00
Space group Pmma (No. 51)
One atom of each set of equivalent atoms:
Hf  0.2500  0.0000  0.1233 (multiplicity 2)
Hf  0.2500  0.0000  0.6256 (multiplicity 2)
Ir  0.2500  0.5000  0.3722 (multiplicity 2)
Os  0.2500  0.5000  0.8741 (multiplicity 2)

Properties
**Formation energy**: -0.780 eV per atom
**Volume**: 17.43 Å³ per atom

2.
A relaxed structure of HfIrOs2. Source: Alexandria via LeMat-Bulk, functional PBE.

Unit cell a=6.3479 b=6.3479 c=6.3479 alpha=90.00 beta=90.00 gamma=90.00
Space group Fm-3m (No. 225)
One atom of each set of equivalent atoms:
Hf  0.0000  0.0000  0.0000 (multiplicity 4)
Ir  0.0000  0.0000  0.5000 (multiplicity 4)
Os  0.2500  0.2500  0.2500 (multiplicity 8)

Properties
**Formation energy**: 0.161 eV per atom
**Energy relative to the lowest polymorph listed for this composition**: 0 meV/atom
**Volume**: 15.99 Å³ per atom

3.
A relaxed structure of Hf5IrOs4. Source: Alexandria via LeMat-Bulk, functional PBE.

Unit cell a=3.2665 b=3.2665 c=16.1763 alpha=90.00 beta=90.00 gamma=90.00
Space group P4/mmm (No. 123)
One atom of each set of equivalent atoms:
Hf  0.0000  0.0000  0.0000 (multiplicity 1)
Hf  0.0000  0.0000  0.2000 (multiplicity 2)
Hf  0.0000  0.0000  0.4001 (multiplicity 2)
Ir  0.5000  0.5000  0.5000 (multiplicity 1)
Os  0.5000  0.5000  0.1004 (multiplicity 2)
Os  0.5000  0.5000  0.3013 (multiplicity 2)

Properties
**Formation energy**: -0.738 eV per atom
**Volume**: 17.26 Å³ per atom

formation energy of number 1 (Hf2IrOs)?
-0.780 eV per atom